Compound: Pr7NdY12
Source: the Alexandria database
Functional: GGA-PBE
Structure: relaxed

Calculated values
Space group ... Im-3m
Energy above the lowest structure with this stoichiometry ... 381 meV/atom

```
20
Lattice="-3.7504 -0.3079 -9.1264 -2.9683 -7.9477 5.0473 -3.1402 8.1650 4.5743" Properties=species:S:1:pos:R:3 pbc="T T T"
Pr -3.3594 -4.1278 -2.0395
Nd 0.0000 0.0000 0.0000
Y -3.2925 6.0520 1.1578
Y -6.5664 -6.1427 -0.6627
Y -3.1987 -2.0046 1.3820
Y -6.6174 -2.1040 -0.7691
Pr -3.4453 3.9285 -2.2761
Y -3.3937 -0.0992 -2.1523
Y -6.4652 0.0086 2.6475
Y -6.3034 2.1223 6.0871
Pr -1.4841 -3.9738 2.5237
Pr -4.9295 -0.0453 0.2476
Pr -3.0542 0.1086 4.8108
Pr -1.5701 4.0825 2.2871
Pr -1.8752 -0.1540 -4.5632
Y -3.5555 -2.2130 -5.5919
Y -6.8476 3.8391 -4.4341
Y -6.6602 1.9139 -0.8868
Y -3.0113 -3.9297 4.9293
Y -3.2415 2.0134 1.2643
```

=====

Compound: Pr4Nd8Y3
Source: the Alexandria database
Functional: GGA-PBE
Structure: relaxed

Calculated values
Space group ... C2/m

```
15
Lattice="6.9277 -0.1036 -0.1489 -3.3169 8.8177 1.2435 -3.3169 -1.8949 8.7010" Properties=species:S:1:pos:R:3 pbc="T T T"
Pr 0.0000 0.0000 0.0000
Nd -1.4605 5.0710 7.2843
Pr 3.4639 -0.0518 -0.0744
Nd -3.3169 1.9128 6.0503
Y 1.8054 4.3570 0.5473
Pr -1.6584 -0.9475 4.3505
Nd 5.0295 1.7843 2.5631
Nd 1.7545 1.7482 2.5112
Nd 0.1470 0.7730 6.7332
Nd 0.1470 6.0462 3.0623
Y 1.8054 -0.9993 4.2760
Nd -4.7356 5.0349 7.2325
Pr -1.6584 4.4088 0.6217
Nd -3.3169 5.0100 3.8942
Y 0.1470 3.4096 4.8978
```

=====

Compound: PrNdY5
Source: the Alexandria database
Functional: GGA-PBE
Structure: relaxed

Calculated values
Space group ... C2/c
Energy above the lowest structure with this stoichiometry ... 0 meV/atom

```
14
Lattice="6.4279 0.0703 -1.5492 -1.0688 6.3388 -1.5492 -0.1064 -0.1273 11.6618" Properties=species:S:1:pos:R:3 pbc="T T T"
Y 3.3244 1.2434 0.7580
Y 5.1569 3.6934 6.4226
Pr 0.0000 0.0000 0.0000
Y 0.0958 2.5884 2.1409
Nd 3.9320 4.8258 0.5917
Y 5.6917 1.4551 3.6157
Y 4.3304 0.2942 6.5889
Y 4.1196 2.6615 9.4466
Y -0.4390 4.8267 4.9477
Y 0.9223 5.9876 1.9746
Nd 1.3207 1.4560 7.9718
Y 1.1331 3.6203 -0.8832
Y 1.9282 5.0384 7.8055
Pr 2.6263 3.1409 4.2817
```

=====

Compound: PrNd3Y12
Source: the Alexandria database
Functional: GGA-PBE
Structure: relaxed

Calculated values
Space group ... P4/mmm

```
16
Lattice="-3.0413 -4.0746 -0.2674 2.9517 -2.4241 3.3666 -11.2894 7.4258 15.2450" Properties=species:S:1:pos:R:3 pbc="T T T"
Y -8.5084 2.3178 12.9787
Y -5.5788 3.4283 11.2098
Y -8.3975 5.2823 15.0161
Nd -2.8245 1.8579 3.8142
Nd -5.6447 3.7129 7.6225
Y -2.8705 -1.3907 5.3654
Pr 0.0000 0.0000 0.0000
Y -2.9366 -1.1059 1.7784
Y -0.0448 -3.2493 1.5496
Y -8.5753 2.6031 9.3928
Nd -8.4649 5.5679 11.4308
Y -2.7588 1.5734 7.4018
Y 0.0598 -0.2807 3.5955
Y -11.3940 4.4571 13.1991
Y -5.6895 0.4636 9.1721
Y -5.7553 0.7482 5.5847
```

=====

Number 1: energy relative to the elements 0.6068 eV per atom. Number 2: energy relative to the elements 0.3313 eV per atom. Number 3: energy relative to the elements 0.0930 eV per atom. Number 4: energy relative to the elements 0.0214 eV per atom.